[1]
{
  "formula": "ZrCu4Ag",
  "functional": "PBE",
  "state": "relaxed",
  "cell": [[4.961, 0.000, 0.000], [2.480, 4.296, 0.000], [2.480, 1.432, 4.050]],
  "species": ["Cu", "Cu", "Ag", "Cu", "Zr", "Cu"],
  "fractional_positions": [[0.625, 0.625, 0.625], [0.124, 0.625, 0.625], [0.000, 0.000, 0.000], [0.625, 0.124, 0.625], [0.250, 0.250, 0.250], [0.625, 0.625, 0.124]],
  "magmom_total_mub_per_atom": 0.000,
  "crystal_system": "cubic",
  "spacegroup": "F-43m",
  "volume_a3_per_fu": 86,
  "e_form_ev_per_fu": -0.902
}

=====

[2]
{
  "formula": "ZrCu2Ag2",
  "functional": "PBE",
  "state": "relaxed",
  "cell": [[7.670, 0.000, 0.000], [0.000, 7.670, 0.000], [0.000, 0.000, 2.848]],
  "species": ["Ag", "Ag", "Cu", "Zr", "Cu", "Cu", "Ag", "Ag", "Zr", "Cu"],
  "fractional_positions": [[0.372, 0.872, 0.000], [0.872, 0.628, 0.000], [0.829, 0.329, 0.500], [0.000, 0.000, 0.000], [0.171, 0.671, 0.500], [0.329, 0.171, 0.500], [0.128, 0.372, 0.000], [0.628, 0.128, 0.000], [0.500, 0.500, 0.000], [0.671, 0.829, 0.500]],
  "polymorph_energy_mev_per_atom": 43,
  "magmom_total_mub_per_atom": 0.000,
  "crystal_system": "tetragonal",
  "spacegroup": "P4/mbm",
  "volume_a3_per_fu": 84,
  "e_form_ev_per_fu": 0.671
}

=====

[3]
{
  "formula": "ZrCuAg2",
  "functional": "PBE",
  "state": "relaxed",
  "cell": [[-4.702, -8.069, 1.588], [-3.481, -7.701, 4.279], [-6.043, -6.340, 3.608]],
  "species": ["Ag", "Cu", "Zr", "Ag"],
  "fractional_positions": [[0.508, 0.508, 0.508], [0.250, 0.250, 0.250], [0.750, 0.750, 0.750], [0.992, 0.992, 0.992]],
  "polymorph_energy_mev_per_atom": 135,
  "magmom_total_mub_per_atom": 0.000,
  "crystal_system": "trigonal",
  "spacegroup": "R-3m",
  "volume_a3_per_fu": 72,
  "e_form_ev_per_fu": 0.506
}

=====

[4]
{
  "formula": "ZrCuAg",
  "functional": "PBE",
  "state": "relaxed",
  "cell": [[-3.965, 1.126, 2.979], [-4.032, -3.057, 0.506], [5.082, -0.038, 0.187]],
  "species": ["Zr", "Ag", "Cu"],
  "fractional_positions": [[0.673, 0.673, 0.000], [0.989, 0.989, 0.000], [0.338, 0.338, 0.000]],
  "polymorph_energy_mev_per_atom": 22,
  "magmom_total_mub_per_atom": 0.000,
  "crystal_system": "orthorhombic",
  "spacegroup": "Imm2",
  "volume_a3_per_fu": 53,
  "e_form_ev_per_fu": -0.144
}

=====

[5]
{
  "formula": "Zr5CuAg",
  "functional": "PBE",
  "state": "relaxed",
  "cell": [[-3.128, 3.251, 2.857], [-3.253, 0.698, -4.177], [-8.070, -6.631, 2.550]],
  "species": ["Zr", "Cu", "Zr", "Zr", "Zr", "Zr", "Zr", "Zr", "Zr", "Zr", "Zr", "Ag", "Cu", "Ag"],
  "fractional_positions": [[0.496, 0.775, 0.945], [0.000, 0.000, 0.000], [0.077, 0.469, 0.863], [0.504, 0.225, 0.055], [0.923, 0.531, 0.137], [0.225, 0.504, 0.555], [0.469, 0.077, 0.363], [0.775, 0.496, 0.445], [0.999, 0.001, 0.250], [0.001, 0.999, 0.750], [0.531, 0.923, 0.637], [0.609, 0.391, 0.750], [0.000, 0.000, 0.500], [0.391, 0.609, 0.250]],
  "magmom_total_mub_per_atom": 0.000,
  "crystal_system": "monoclinic",
  "spacegroup": "C2/c",
  "volume_a3_per_fu": 148,
  "e_form_ev_per_fu": 0.830
}

=====

[6]
{
  "formula": "Zr2CuAg",
  "functional": "PBE",
  "state": "relaxed",
  "cell": [[-3.458, 6.056, 3.124], [-5.093, -4.625, 3.326], [-2.654, 0.509, 5.422]],
  "species": ["Zr", "Ag", "Zr", "Zr", "Ag", "Zr", "Cu", "Cu"],
  "fractional_positions": [[0.154, 0.625, 0.250], [0.000, 0.000, 0.000], [0.375, 0.404, 0.750], [0.875, 0.846, 0.750], [0.750, 0.250, 0.500], [0.596, 0.125, 0.250], [0.250, 0.750, 0.500], [0.500, 0.500, 0.000]],
  "polymorph_energy_mev_per_atom": 387,
  "magmom_total_mub_per_atom": 0.000,
  "crystal_system": "tetragonal",
  "spacegroup": "I-42d",
  "volume_a3_per_fu": 80,
  "e_form_ev_per_fu": 1.120
}

=====

Please write out number 6 again, unchanged.
{
  "formula": "Zr2CuAg",
  "functional": "PBE",
  "state": "relaxed",
  "cell": [[-3.458, 6.056, 3.124], [-5.093, -4.625, 3.326], [-2.654, 0.509, 5.422]],
  "species": ["Zr", "Ag", "Zr", "Zr", "Ag", "Zr", "Cu", "Cu"],
  "fractional_positions": [[0.154, 0.625, 0.250], [0.000, 0.000, 0.000], [0.375, 0.404, 0.750], [0.875, 0.846, 0.750], [0.750, 0.250, 0.500], [0.596, 0.125, 0.250], [0.250, 0.750, 0.500], [0.500, 0.500, 0.000]],
  "polymorph_energy_mev_per_atom": 387,
  "magmom_total_mub_per_atom": 0.000,
  "crystal_system": "tetragonal",
  "spacegroup": "I-42d",
  "volume_a3_per_fu": 80,
  "e_form_ev_per_fu": 1.120
}

=====

Question: Number 1 is which compound?
Answer: ZrCu4Ag